Record 1
Here is ErCF after structural relaxation from Alexandria. Energies are from PBE-GGA.

Lattice parameters (Å, degrees): 6.4168 6.7020 3.7299 90.00 90.00 90.00
Sites, in units of the cell vectors:
Er: 0.2295 0.0256 0.2500
Er: 0.2295 0.4744 0.7500
Er: 0.7705 0.5256 0.2500
Er: 0.7705 0.9744 0.7500
C: 0.0353 0.7500 0.0000
C: 0.0353 0.7500 0.5000
C: 0.9647 0.2500 0.0000
C: 0.9647 0.2500 0.5000
F: 0.4144 0.1069 0.7500
F: 0.4144 0.3931 0.2500
F: 0.5856 0.6069 0.7500
F: 0.5856 0.8931 0.2500

Calculated values
E_form (uncorrected) = -1498 meV/atom

=====

Record 2
Here is LiP2HO6 after structural relaxation from Alexandria. Energies are from PBE-GGA.

Lattice parameters (Å, degrees): 7.5127 7.5127 4.7214 103.00 103.00 93.26
Sites, in units of the cell vectors:
Li: 0.2068 0.7932 0.7500
Li: 0.7932 0.2068 0.2500
P: 0.2155 0.3868 0.3451
P: 0.3868 0.2155 0.8451
P: 0.6132 0.7845 0.1549
P: 0.7845 0.6132 0.6549
H: 0.3277 0.6723 0.2500
H: 0.6723 0.3277 0.7500
O: 0.0296 0.2877 0.2124
O: 0.2409 0.5953 0.3820
O: 0.2877 0.0296 0.7124
O: 0.3003 0.3679 0.6814
O: 0.3679 0.3003 0.1814
O: 0.4047 0.7591 0.1180
O: 0.5953 0.2409 0.8820
O: 0.6321 0.6997 0.8186
O: 0.6997 0.6321 0.3186
O: 0.7123 0.9704 0.2876
O: 0.7591 0.4047 0.6180
O: 0.9704 0.7123 0.7876

Calculated values
total DFT energy (no corrections) = -6.60 eV per atom

=====

Record 3
Here is MnIn2Ge2Rh5 after structural relaxation from Alexandria. Energies are from PBE-GGA.

Lattice parameters (Å, degrees): 10.4188 10.4188 3.0281 90.00 90.00 90.00
Sites, in units of the cell vectors:
Mn: 0.0000 0.0000 0.0000
Mn: 0.5000 0.5000 0.0000
In: 0.1594 0.3406 0.0000
In: 0.3406 0.8406 0.0000
In: 0.6594 0.1594 0.0000
In: 0.8406 0.6594 0.0000
Ge: 0.1386 0.6386 0.0000
Ge: 0.3614 0.1386 0.0000
Ge: 0.6386 0.8614 0.0000
Ge: 0.8614 0.3614 0.0000
Rh: 0.0000 0.5000 0.5000
Rh: 0.1166 0.8271 0.5000
Rh: 0.1729 0.1166 0.5000
Rh: 0.3271 0.6166 0.5000
Rh: 0.3834 0.3271 0.5000
Rh: 0.5000 0.0000 0.5000
Rh: 0.6166 0.6729 0.5000
Rh: 0.6729 0.3834 0.5000
Rh: 0.8271 0.8834 0.5000
Rh: 0.8834 0.1729 0.5000

Calculated values
energy relative to the elements = -234 meV per atom

=====

Record 4
Here is LiHg12Bi6 after structural relaxation from Alexandria. Energies are from PBE-GGA.

Lattice parameters (Å, degrees): 6.6865 8.8983 11.1166 68.38 82.90 68.31
Sites, in units of the cell vectors:
Li: 0.0000 0.0000 0.0000
Hg: 0.0172 0.2160 0.3002
Hg: 0.1186 0.2863 0.5591
Hg: 0.2125 0.8447 0.2439
Hg: 0.3154 0.4231 0.2627
Hg: 0.3423 0.8982 0.5083
Hg: 0.3590 0.4832 0.6273
Hg: 0.6410 0.5168 0.3727
Hg: 0.6577 0.1018 0.4917
Hg: 0.6846 0.5769 0.7373
Hg: 0.7875 0.1553 0.7561
Hg: 0.8814 0.7137 0.4409
Hg: 0.9828 0.7840 0.6998
Bi: 0.2140 0.6513 0.9659
Bi: 0.2649 0.2519 0.9368
Bi: 0.4081 0.9449 0.8273
Bi: 0.5919 0.0551 0.1727
Bi: 0.7351 0.7481 0.0632
Bi: 0.7860 0.3487 0.0341

Calculated values
energy relative to the elements = -1 meV per atom

=====

Number 1: D(E_F) 0.65 states/eV/f.u., total magnetization 0.000 Bohr magnetons per cell. Number 2: D(E_F) 0.00 states/eV/f.u., total magnetization 0.000 Bohr magnetons per cell. Number 3: D(E_F) 4.59 states/eV/f.u., total magnetization 8.007 Bohr magnetons per cell. Number 4: D(E_F) 3.68 states/eV/f.u., total magnetization 0.000 Bohr magnetons per cell.